A plane-wave DFT calculation with PBE was carried out for crystalline Mg5Cd3Hg12 at its relaxed geometry.

abc: 14.5991 14.5991 14.5991
angles: 109.47 109.47 109.47
Sites, in units of the cell vectors:
Cd: 0.7500 0.3750 0.1250
Cd: 0.8750 0.7500 0.1250
Cd: 0.3750 0.7500 0.6250
Cd: 0.2500 0.1250 0.3750
Cd: 0.8750 0.1250 0.2500
Cd: 0.3750 0.6250 0.2500
Cd: 0.6250 0.3750 0.7500
Cd: 0.1250 0.8750 0.7500
Cd: 0.7500 0.8750 0.6250
Cd: 0.6250 0.2500 0.3750
Cd: 0.1250 0.2500 0.8750
Cd: 0.2500 0.6250 0.8750
Mg: 0.1250 0.3750 0.2500
Mg: 0.0000 0.5000 0.0000
Mg: 0.0000 0.0000 0.0000
Mg: 0.3750 0.2500 0.1250
Mg: 0.5000 0.0000 0.5000
Mg: 0.5000 0.5000 0.0000
Mg: 0.1250 0.7500 0.3750
Mg: 0.7500 0.1250 0.8750
Mg: 0.7500 0.6250 0.3750
Mg: 0.3750 0.1250 0.7500
Mg: 0.6250 0.8750 0.2500
Mg: 0.5000 0.5000 0.5000
Mg: 0.5000 0.0000 0.0000
Mg: 0.0000 0.0000 0.5000
Mg: 0.2500 0.3750 0.6250
Mg: 0.2500 0.8750 0.1250
Mg: 0.0000 0.5000 0.5000
Mg: 0.8750 0.2500 0.6250
Mg: 0.6250 0.7500 0.8750
Mg: 0.8750 0.6250 0.7500
Hg: 0.7271 0.1376 0.0611
Hg: 0.3340 0.5611 0.4235
Hg: 0.9389 0.3624 0.2729
Hg: 0.5611 0.2271 0.1376
Hg: 0.5895 0.7271 0.6660
Hg: 0.9389 0.5765 0.1660
Hg: 0.3340 0.7729 0.4105
Hg: 0.0765 0.9105 0.1376
Hg: 0.5765 0.9389 0.6660
Hg: 0.7271 0.5895 0.1660
Hg: 0.7729 0.4389 0.3624
Hg: 0.8340 0.9235 0.0611
Hg: 0.1376 0.7271 0.5611
Hg: 0.3624 0.4235 0.0895
Hg: 0.0895 0.9235 0.3624
Hg: 0.4105 0.1376 0.5765
Hg: 0.0895 0.1660 0.2271
Hg: 0.4389 0.6660 0.0765
Hg: 0.8340 0.9105 0.2729
Hg: 0.1376 0.4105 0.0765
Hg: 0.3624 0.9389 0.7729
Hg: 0.5765 0.6376 0.4105
Hg: 0.9235 0.8340 0.5611
Hg: 0.7729 0.3340 0.9105
Hg: 0.4235 0.3624 0.5895
Hg: 0.0765 0.1660 0.4389
Hg: 0.2271 0.6660 0.0895
Hg: 0.1660 0.0895 0.7271
Hg: 0.6376 0.0611 0.2271
Hg: 0.8624 0.5895 0.9235
Hg: 0.5611 0.3340 0.9235
Hg: 0.5895 0.8624 0.4235
Hg: 0.9105 0.8340 0.7729
Hg: 0.9105 0.0765 0.6376
Hg: 0.8624 0.2729 0.4389
Hg: 0.1660 0.0765 0.9389
Hg: 0.6376 0.5765 0.9105
Hg: 0.4235 0.0611 0.3340
Hg: 0.2729 0.4105 0.8340
Hg: 0.2271 0.5611 0.6376
Hg: 0.9235 0.0895 0.8624
Hg: 0.6660 0.2271 0.5895
Hg: 0.4389 0.7729 0.8624
Hg: 0.0611 0.4235 0.8340
Hg: 0.4105 0.2729 0.3340
Hg: 0.0611 0.6376 0.7271
Hg: 0.6660 0.4389 0.5765
Hg: 0.2729 0.8624 0.9389

Output
Calculated total energy   -0.643 eV/atom
Calculated formation energy   74.1 meV per atom
DOS(E_F)   0.57 states/eV per atom